Compound: MnNbRh
Source: the Alexandria database
Functional: PBE
Structure: relaxed

```
data_MnNbRh
_chemical_formula_sum 'Mn2 Nb2 Rh2'
_cell_length_a 4.7757
_cell_length_b 4.7757
_cell_length_c 5.4783
_cell_angle_alpha 103.33
_cell_angle_beta 103.33
_cell_angle_gamma 48.09
_space_group_name_H-M_alt 'P 1'
_space_group_IT_number 1
_space_group_name_Hall 'P 1'
loop_
_atom_site_label
_atom_site_fract_x
_atom_site_fract_y
_atom_site_fract_z
_atom_site_occupancy
Mn1 0.0000 0.0000 0.0000 1
Mn2 0.6813 0.6813 0.3180 1
Nb1 0.0329 0.0329 0.5058 1
Nb2 0.3244 0.3244 0.1331 1
Rh1 0.3515 0.3515 0.6388 1
Rh2 0.6764 0.6764 0.8239 1
```

Output
total magnetization	2.047	μB per formula unit
energy relative to the elements	-0.168	eV/atom
crystal system	monoclinic
VASP energy	-54.19	eV/cell


Compound: BaNaHfCu2
Source: the Alexandria database
Functional: PBE
Structure: relaxed

```
data_BaNaHfCu2
_chemical_formula_sum 'Ba1 Na1 Hf1 Cu2'
_cell_length_a 5.0875
_cell_length_b 5.0875
_cell_length_c 5.6947
_cell_angle_alpha 90.00
_cell_angle_beta 90.00
_cell_angle_gamma 90.00
_space_group_name_H-M_alt 'P 1'
_space_group_IT_number 1
_space_group_name_Hall 'P 1'
loop_
_atom_site_label
_atom_site_fract_x
_atom_site_fract_y
_atom_site_fract_z
_atom_site_occupancy
Ba1 0.0000 0.0000 0.0000 1
Na1 0.5000 0.5000 0.0000 1
Hf1 0.5000 0.5000 0.5000 1
Cu1 0.0000 0.5000 0.5000 1
Cu2 0.5000 0.0000 0.5000 1
```

Output
total magnetization	0.000	μB per formula unit
energy relative to the elements	0.679	eV/atom
crystal system	tetragonal
VASP energy	-17.99	eV/cell


Compound: La3Y3Si4
Source: the Alexandria database
Functional: PBE
Structure: relaxed

```
data_La3Y3Si4
_chemical_formula_sum 'La3 Y3 Si4'
_cell_length_a 4.2251
_cell_length_b 7.7582
_cell_length_c 7.7582
_cell_angle_alpha 86.67
_cell_angle_beta 90.00
_cell_angle_gamma 90.00
_space_group_name_H-M_alt 'P 1'
_space_group_IT_number 1
_space_group_name_Hall 'P 1'
loop_
_atom_site_label
_atom_site_fract_x
_atom_site_fract_y
_atom_site_fract_z
_atom_site_occupancy
La1 0.0000 0.0000 0.0000 1
La2 0.5000 0.3123 0.8493 1
La3 0.5000 0.8493 0.3123 1
Y1 0.0000 0.1631 0.5151 1
Y2 0.0000 0.5151 0.1631 1
Y3 0.0000 0.6519 0.6519 1
Si1 0.5000 0.2406 0.2406 1
Si2 0.5000 0.4572 0.4572 1
Si3 0.5000 0.7044 0.9330 1
Si4 0.5000 0.9330 0.7044 1
```

Output
total magnetization	0.000	μB per formula unit
crystal system	orthorhombic
raw formation energy	-6.30	eV/f.u.
VASP energy	-62.16	eV/cell


Compound: Ac4Np3N10
Source: the Alexandria database
Functional: PBE
Structure: relaxed

```
data_Ac4Np3N10
_chemical_formula_sum 'Ac4 Np3 N10'
_cell_length_a 15.4985
_cell_length_b 15.4985
_cell_length_c 15.4985
_cell_angle_alpha 164.09
_cell_angle_beta 164.09
_cell_angle_gamma 22.57
_space_group_name_H-M_alt 'P 1'
_space_group_IT_number 1
_space_group_name_Hall 'P 1'
loop_
_atom_site_label
_atom_site_fract_x
_atom_site_fract_y
_atom_site_fract_z
_atom_site_occupancy
Ac1 0.0696 0.0696 0.0000 1
Ac2 0.2039 0.2039 0.0000 1
Ac3 0.7961 0.7961 0.0000 1
Ac4 0.9304 0.9304 0.0000 1
Np1 0.3587 0.3587 0.0000 1
Np2 0.5000 0.5000 0.0000 1
Np3 0.6413 0.6413 0.0000 1
N1 0.0000 0.5000 0.5000 1
N2 0.1404 0.6404 0.5000 1
N3 0.2874 0.2874 0.0000 1
N4 0.3596 0.8596 0.5000 1
N5 0.4295 0.4295 0.0000 1
N6 0.5000 0.0000 0.5000 1
N7 0.5705 0.5705 0.0000 1
N8 0.6404 0.1404 0.5000 1
N9 0.7126 0.7126 0.0000 1
N10 0.8596 0.3596 0.5000 1
```

Output
total magnetization	3.000	μB per formula unit
crystal system	tetragonal
raw formation energy	-20.55	eV/f.u.
VASP energy	-159.06	eV/cell


Compound: ZnGa2Ag6
Source: the Alexandria database
Functional: PBE
Structure: relaxed

```
data_ZnGa2Ag6
_chemical_formula_sum 'Zn1 Ga2 Ag6'
_cell_length_a 5.4437
_cell_length_b 5.4437
_cell_length_c 8.2775
_cell_angle_alpha 121.37
_cell_angle_beta 121.37
_cell_angle_gamma 50.80
_space_group_name_H-M_alt 'P 1'
_space_group_IT_number 1
_space_group_name_Hall 'P 1'
loop_
_atom_site_label
_atom_site_fract_x
_atom_site_fract_y
_atom_site_fract_z
_atom_site_occupancy
Zn1 0.0000 0.0000 0.0000 1
Ga1 0.1103 0.1103 0.4498 1
Ga2 0.8897 0.8897 0.5502 1
Ag1 0.2063 0.2063 0.8833 1
Ag2 0.3214 0.3214 0.3330 1
Ag3 0.4462 0.4462 0.7819 1
Ag4 0.5538 0.5538 0.2181 1
Ag5 0.6786 0.6786 0.6670 1
Ag6 0.7937 0.7937 0.1167 1
```

Output
total magnetization	0.000	μB per formula unit
energy relative to the elements	0.007	eV/atom
relative energy among the computed polymorphs	0	meV per atom
crystal system	monoclinic
VASP energy	-24.38	eV/cell


Compound: CaRe2Cl
Source: the Alexandria database
Functional: PBE
Structure: relaxed

```
data_CaRe2Cl
_chemical_formula_sum 'Ca1 Re2 Cl1'
_cell_length_a 3.1304
_cell_length_b 8.0121
_cell_length_c 8.0121
_cell_angle_alpha 22.61
_cell_angle_beta 90.00
_cell_angle_gamma 90.00
_space_group_name_H-M_alt 'P 1'
_space_group_IT_number 1
_space_group_name_Hall 'P 1'
loop_
_atom_site_label
_atom_site_fract_x
_atom_site_fract_y
_atom_site_fract_z
_atom_site_occupancy
Ca1 0.0000 0.0000 0.0000 1
Re1 0.0000 0.2270 0.2270 1
Re2 0.5000 0.6453 0.6453 1
Cl1 0.5000 0.3819 0.3819 1
```

Output
total magnetization	0.000	μB per formula unit
relative energy among the computed polymorphs	0	meV per atom
crystal system	orthorhombic
raw formation energy	-0.54	eV/f.u.
VASP energy	-29.29	eV/cell


Compound: Tb2SnBi
Source: the Alexandria database
Functional: PBE
Structure: relaxed

```
data_Tb2SnBi
_chemical_formula_sum 'Tb2 Sn1 Bi1'
_cell_length_a 4.0684
_cell_length_b 4.0684
_cell_length_c 6.8428
_cell_angle_alpha 90.00
_cell_angle_beta 90.00
_cell_angle_gamma 90.00
_space_group_name_H-M_alt 'P 1'
_space_group_IT_number 1
_space_group_name_Hall 'P 1'
loop_
_atom_site_label
_atom_site_fract_x
_atom_site_fract_y
_atom_site_fract_z
_atom_site_occupancy
Tb1 0.0000 0.0000 0.2463 1
Tb2 0.0000 0.0000 0.7537 1
Sn1 0.5000 0.5000 0.0000 1
Bi1 0.5000 0.5000 0.5000 1
```

Output
total magnetization	0.003	μB per formula unit
energy relative to the elements	-0.617	eV/atom
relative energy among the computed polymorphs	178	meV per atom
crystal system	tetragonal
VASP energy	-19.61	eV/cell


Compound: Mn2GeRu4
Source: the Alexandria database
Functional: PBE
Structure: relaxed

```
data_Mn2GeRu4
_chemical_formula_sum 'Mn2 Ge1 Ru4'
_cell_length_a 6.9330
_cell_length_b 6.9330
_cell_length_c 6.9330
_cell_angle_alpha 142.36
_cell_angle_beta 142.36
_cell_angle_gamma 54.28
_space_group_name_H-M_alt 'P 1'
_space_group_IT_number 1
_space_group_name_Hall 'P 1'
loop_
_atom_site_label
_atom_site_fract_x
_atom_site_fract_y
_atom_site_fract_z
_atom_site_occupancy
Mn1 0.1182 0.1182 0.0000 1
Mn2 0.8818 0.8818 0.0000 1
Ge1 0.5000 0.5000 0.0000 1
Ru1 0.0000 0.5000 0.5000 1
Ru2 0.3038 0.3038 0.0000 1
Ru3 0.5000 0.0000 0.5000 1
Ru4 0.6962 0.6962 0.0000 1
```

Output
total magnetization	4.572	μB per formula unit
energy relative to the elements	1.070	eV/atom
crystal system	tetragonal
VASP energy	-52.57	eV/cell


Compound: Tm2Al3Pd4
Source: the Alexandria database
Functional: PBE
Structure: relaxed

```
data_Tm2Al3Pd4
_chemical_formula_sum 'Tm4 Al6 Pd8'
_cell_length_a 8.0773
_cell_length_b 8.0773
_cell_length_c 7.6150
_cell_angle_alpha 90.00
_cell_angle_beta 90.00
_cell_angle_gamma 139.79
_space_group_name_H-M_alt 'P 1'
_space_group_IT_number 1
_space_group_name_Hall 'P 1'
loop_
_atom_site_label
_atom_site_fract_x
_atom_site_fract_y
_atom_site_fract_z
_atom_site_occupancy
Tm1 0.1072 0.8928 0.9128 1
Tm2 0.3928 0.6072 0.4128 1
Tm3 0.6072 0.3928 0.5872 1
Tm4 0.8928 0.1072 0.0872 1
Al1 0.0000 0.0000 0.5000 1
Al2 0.0204 0.4796 0.7500 1
Al3 0.4796 0.0204 0.2500 1
Al4 0.5000 0.5000 0.0000 1
Al5 0.5204 0.9796 0.7500 1
Al6 0.9796 0.5204 0.2500 1
Pd1 0.1821 0.8179 0.5222 1
Pd2 0.1892 0.3108 0.7500 1
Pd3 0.3108 0.1892 0.2500 1
Pd4 0.3179 0.6821 0.0222 1
Pd5 0.6821 0.3179 0.9778 1
Pd6 0.6892 0.8108 0.7500 1
Pd7 0.8108 0.6892 0.2500 1
Pd8 0.8179 0.1821 0.4778 1
```

Output
total magnetization	0.000	μB per formula unit
energy relative to the elements	-0.926	eV/atom
crystal system	orthorhombic
VASP energy	-98.56	eV/cell


Compound: BeCd2HgBr
Source: the Alexandria database
Functional: PBE
Structure: relaxed

```
data_BeCd2HgBr
_chemical_formula_sum 'Be1 Cd2 Hg1 Br1'
_cell_length_a 5.0635
_cell_length_b 5.0635
_cell_length_c 4.7743
_cell_angle_alpha 90.00
_cell_angle_beta 90.00
_cell_angle_gamma 90.00
_space_group_name_H-M_alt 'P 1'
_space_group_IT_number 1
_space_group_name_Hall 'P 1'
loop_
_atom_site_label
_atom_site_fract_x
_atom_site_fract_y
_atom_site_fract_z
_atom_site_occupancy
Be1 0.0000 0.0000 0.0000 1
Cd1 0.0000 0.5000 0.0000 1
Cd2 0.5000 0.0000 0.0000 1
Hg1 0.0000 0.0000 0.5000 1
Br1 0.5000 0.5000 0.5000 1
```

Output
total magnetization	0.000	μB per formula unit
crystal system	tetragonal
raw formation energy	0.23	eV/f.u.
VASP energy	-7.30	eV/cell


Compound: TcAs2W
Source: the Alexandria database
Functional: PBE
Structure: relaxed

```
data_TcAs2W
_chemical_formula_sum 'Tc1 As2 W1'
_cell_length_a 10.5441
_cell_length_b 10.5441
_cell_length_c 10.5441
_cell_angle_alpha 15.86
_cell_angle_beta 15.86
_cell_angle_gamma 15.86
_space_group_name_H-M_alt 'P 1'
_space_group_IT_number 1
_space_group_name_Hall 'P 1'
loop_
_atom_site_label
_atom_site_fract_x
_atom_site_fract_y
_atom_site_fract_z
_atom_site_occupancy
Tc1 0.0000 0.0000 0.0000 1
As1 0.2698 0.2698 0.2698 1
As2 0.4713 0.4713 0.4713 1
W1 0.7363 0.7363 0.7363 1
```

Output
total magnetization	0.000	μB per formula unit
energy relative to the elements	0.091	eV/atom
relative energy among the computed polymorphs	60	meV per atom
crystal system	trigonal
VASP energy	-32.25	eV/cell


Compound: LiDy2AsPb
Source: the Alexandria database
Functional: PBE
Structure: relaxed

```
data_LiDy2AsPb
_chemical_formula_sum 'Li2 Dy4 As2 Pb2'
_cell_length_a 7.6778
_cell_length_b 4.1546
_cell_length_c 8.3150
_cell_angle_alpha 90.00
_cell_angle_beta 106.91
_cell_angle_gamma 90.00
_space_group_name_H-M_alt 'P 1'
_space_group_IT_number 1
_space_group_name_Hall 'P 1'
loop_
_atom_site_label
_atom_site_fract_x
_atom_site_fract_y
_atom_site_fract_z
_atom_site_occupancy
Li1 0.0424 0.2500 0.1419 1
Li2 0.9576 0.7500 0.8581 1
Dy1 0.2552 0.7500 0.5230 1
Dy2 0.3753 0.7500 0.1078 1
Dy3 0.6247 0.2500 0.8922 1
Dy4 0.7448 0.2500 0.4770 1
As1 0.3523 0.2500 0.3300 1
As2 0.6477 0.7500 0.6700 1
Pb1 0.1813 0.2500 0.7985 1
Pb2 0.8187 0.7500 0.2015 1
```

Output
total magnetization	0.000	μB per formula unit
energy relative to the elements	-0.779	eV/atom
crystal system	monoclinic
VASP energy	-46.74	eV/cell


Compound: KCa2InC
Source: the Alexandria database
Functional: PBE
Structure: relaxed

```
data_KCa2InC
_chemical_formula_sum 'K1 Ca2 In1 C1'
_cell_length_a 8.4105
_cell_length_b 8.4105
_cell_length_c 7.7982
_cell_angle_alpha 90.00
_cell_angle_beta 90.00
_cell_angle_gamma 90.00
_space_group_name_H-M_alt 'P 1'
_space_group_IT_number 1
_space_group_name_Hall 'P 1'
loop_
_atom_site_label
_atom_site_fract_x
_atom_site_fract_y
_atom_site_fract_z
_atom_site_occupancy
K1 0.0000 0.0000 0.0000 1
Ca1 0.0000 0.5000 0.0000 1
Ca2 0.5000 0.0000 0.0000 1
In1 0.0000 0.0000 0.5000 1
C1 0.5000 0.5000 0.5000 1
```

Output
total magnetization	2.106	μB per formula unit
energy relative to the elements	2.312	eV/atom
crystal system	tetragonal
VASP energy	-5.50	eV/cell


Compound: AsSeCl2
Source: the Alexandria database
Functional: PBE
Structure: relaxed

```
data_AsSeCl2
_chemical_formula_sum 'As1 Se1 Cl2'
_cell_length_a 7.4123
_cell_length_b 7.4123
_cell_length_c 7.4123
_cell_angle_alpha 152.43
_cell_angle_beta 145.13
_cell_angle_gamma 45.02
_space_group_name_H-M_alt 'P 1'
_space_group_IT_number 1
_space_group_name_Hall 'P 1'
loop_
_atom_site_label
_atom_site_fract_x
_atom_site_fract_y
_atom_site_fract_z
_atom_site_occupancy
As1 0.0000 0.0000 0.0000 1
Se1 0.1279 0.6279 0.5000 1
Cl1 0.4374 0.4374 0.0000 1
Cl2 0.6825 0.1825 0.5000 1
```

Output
total magnetization	0.000	μB per formula unit
relative energy among the computed polymorphs	322	meV per atom
crystal system	orthorhombic
raw formation energy	-0.01	eV/f.u.
VASP energy	-11.84	eV/cell


Compound: Cs2Ga2P2S
Source: the Alexandria database
Functional: PBE
Structure: relaxed

```
data_Cs2Ga2P2S
_chemical_formula_sum 'Cs2 Ga2 P2 S1'
_cell_length_a 4.0539
_cell_length_b 7.3448
_cell_length_c 7.8730
_cell_angle_alpha 76.39
_cell_angle_beta 89.01
_cell_angle_gamma 89.71
_space_group_name_H-M_alt 'P 1'
_space_group_IT_number 1
_space_group_name_Hall 'P 1'
loop_
_atom_site_label
_atom_site_fract_x
_atom_site_fract_y
_atom_site_fract_z
_atom_site_occupancy
Cs1 0.0066 0.3376 0.2771 1
Cs2 0.9934 0.6624 0.7229 1
Ga1 0.4954 0.1659 0.7251 1
Ga2 0.5046 0.8341 0.2749 1
P1 0.0102 0.8580 0.0956 1
P2 0.9898 0.1420 0.9044 1
S1 0.5000 0.0000 0.5000 1
```

Output
total magnetization	0.000	μB per formula unit
crystal system	triclinic
raw formation energy	-2.64	eV/f.u.
VASP energy	-25.35	eV/cell